A relaxed BaTa2W crystal. Source: Alexandria, functional PBE.

Its magnetization is 0.000 μB/atom. Its formation energy is 883 meV/atom. The relative energy among the computed polymorphs comes out at 110.3 kJ/mol of formula units. For the density of states at the Fermi level, the calculation gives 8.62 states/eV per cell. The calculated total energy is -8.762 eV per atom.

The space group is Imm2 (No. 44) and the conventional cell measures 3.345, 4.391 and 15.015 Å, with angles of 90.00, 90.00 and 90.00 degrees. The inequivalent atoms are Ba at (0.000, 0.000, 0.000), Ta at (0.000, 0.000, 0.664), Ta at (0.000, 0.500, 0.778) and W at (0.000, 0.500, 0.294).



A relaxed BeInCl2 crystal. Source: Alexandria, functional PBE.

Its magnetization is 0.250 μB/atom. The relative energy among the computed polymorphs comes out at 86.5 kJ/mol of formula units. The uncorrected formation energy is -523 meV/atom. For the density of states at the Fermi level, the calculation gives 2.58 states/eV per cell. The calculated total energy is -3.062 eV per atom.

The space group is I-42d (No. 122) and the conventional cell measures 6.612, 6.612 and 9.244 Å, with angles of 90.00, 90.00 and 90.00 degrees. The inequivalent atoms are Be at (0.000, 0.000, 0.000), In at (0.000, 0.000, 0.500) and Cl at (0.056, 0.750, 0.125).



A relaxed SrCrCuTe3 crystal. Source: Alexandria, functional PBE.

Its magnetization is 0.500 μB/atom. The uncorrected formation energy is -642 meV/atom. For the density of states at the Fermi level, the calculation gives 1.37 states/eV per cell. The calculated total energy is -4.779 eV per atom.

The space group is P2_1/m (No. 11) and the conventional cell measures 8.454, 4.201 and 9.443 Å, with angles of 90.00, 103.77 and 90.00 degrees. The inequivalent atoms are Sr at (0.186, 0.250, 0.259), Cr at (0.334, 0.750, 0.846), Cu at (0.067, 0.250, 0.577), Te at (0.124, 0.250, 0.871), Te at (0.252, 0.750, 0.543) and Te at (0.447, 0.750, 0.144).